Below is an optimized crystal structure of AcCrInO6, with properties calculated at the PBE with a Hubbard U level.

The structure belongs to space group P312 (No. 149); the cell edges are 5.3775, 5.3775 and 5.2095 Å and the angles 90.00°, 90.00° and 120.00°. The asymmetric unit holds Ac at (0.0000, 0.0000, 0.0000), Cr at (0.6667, 0.3333, 0.5000), In at (0.3333, 0.6667, 0.5000) and O at (0.3973, 0.0417, 0.7086).

The calculation puts the uncorrected energy at -6.662 eV per atom.

Below is an optimized crystal structure of Ac2CrInO6, with properties calculated at the PBE with a Hubbard U level.

The structure belongs to space group C2/m (No. 12); the cell edges are 10.033, 5.781 and 5.868 Å and the angles 90.00°, 125.08° and 90.00°. The asymmetric unit holds Ac at (0.248, 0.000, 0.238), Cr at (0.000, 0.500, 0.000), In at (0.000, 0.000, 0.500), O at (0.050, 0.257, 0.810) and O at (0.241, 0.500, 0.327).

The calculation puts the uncorrected energy at -7.421 eV per atom.

Q: What is the formula in the first record?
A: AcCrInO6

Q: Which formula does entry 2 have?
A: Ac2CrInO6